Version w
VASP calculation (PBE-GGA) on a geometry-optimized ZrTlBr2 structure.

Properties
The calculation puts the mass density at 6.461 Mg/m³.

```
ZrTlBr2
1.0
1.688 -3.252 0.000
1.688 3.252 0.000
0.000 0.000 10.662
Zr Tl Br
1 1 2
Cartesian
0.000 0.000 0.000
0.000 0.000 5.331
1.688 0.000 2.154
1.688 0.000 8.508
```

Version x
VASP calculation (PBE-GGA) on a geometry-optimized ZrTlBr2 structure.

Properties
The calculation puts the mass density at 7.210 Mg/m³.

```
ZrTlBr2
1.0
-2.160 2.160 5.618
2.160 -2.160 5.618
2.160 2.160 -5.618
Zr Tl Br
1 1 2
Cartesian
0.000 0.000 0.000
0.000 2.160 2.809
2.160 0.000 2.809
0.000 0.000 5.618
```

Stability summary - winner: version w; margin: 547 meV per atom.

Version w
VASP calculation (PBE-GGA) on a geometry-optimized ZrTlBr2 structure.

Properties
The calculation puts the mass density at 6.964 Mg/m³.

```
ZrTlBr2
1.0
0.000 3.787 3.787
3.787 0.000 3.787
3.787 3.787 0.000
Zr Tl Br
1 1 2
Cartesian
0.000 0.000 0.000
1.893 1.893 1.893
3.787 3.787 3.787
5.680 5.680 5.680
```

Version x
VASP calculation (PBE-GGA) on a geometry-optimized ZrTlBr2 structure.

Properties
The calculation puts the mass density at 6.263 Mg/m³.

```
ZrTlBr2
1.0
3.337 0.000 0.000
0.000 3.337 0.000
0.000 0.000 10.841
Zr Tl Br
1 1 2
Cartesian
0.000 0.000 0.000
0.000 0.000 5.421
1.669 1.669 1.668
1.669 1.669 9.174
```

Version y
VASP calculation (PBE-GGA) on a geometry-optimized ZrTlBr2 structure.

Properties
The calculation puts the mass density at 6.656 Mg/m³.

```
ZrTlBr2
1.0
1.745 1.008 10.768
-1.745 1.008 10.768
0.000 -2.015 10.768
Zr Tl Br
1 1 2
Cartesian
0.000 0.000 0.000
0.000 0.000 16.152
0.000 0.000 12.702
0.000 0.000 19.602
```

Stability summary - winner: version y; margin: 150 meV per atom.

Version w
VASP calculation (PBE-GGA) on a geometry-optimized ZrTlBr2 structure.

Properties
The calculation puts the mass density at 5.784 Mg/m³.

```
ZrTlBr2
1.0
7.364 -1.662 0.000
7.364 1.662 0.000
-1.939 0.000 5.342
Zr Tl Br
1 1 2
Cartesian
0.000 0.000 0.000
6.394 0.000 2.671
3.420 0.000 4.441
9.369 0.000 0.901
```

Version x
VASP calculation (PBE-GGA) on a geometry-optimized ZrTlBr2 structure.

Properties
The calculation puts the mass density at 5.601 Mg/m³.

```
ZrTlBr2
1.0
-4.645 4.645 3.128
4.645 -4.645 3.128
4.645 4.645 -3.128
Zr Tl Br
2 2 4
Cartesian
0.000 0.000 0.000
0.000 4.645 1.564
4.645 0.000 1.564
0.000 0.000 3.128
2.323 1.183 -0.782
3.462 -2.323 3.910
2.323 3.462 2.346
1.183 6.968 0.782
```

Stability summary - winner: version w; margin: 244 meV per atom.

Version w
VASP calculation (PBE-GGA) on a geometry-optimized Zr3TlBr structure.

Properties
The calculation puts the mass density at 5.794 Mg/m³.

```
Zr3TlBr
1.0
5.428 0.000 0.000
0.000 5.428 0.000
0.000 0.000 5.428
Zr Tl Br
3 1 1
Cartesian
0.000 0.000 2.714
0.000 2.714 0.000
2.714 0.000 0.000
0.000 0.000 0.000
2.714 2.714 2.714
```

Version x
VASP calculation (PBE-GGA) on a geometry-optimized Zr3TlBr structure.

Properties
The calculation puts the mass density at 7.395 Mg/m³.

```
Zr3TlBr
1.0
5.004 0.000 0.000
0.000 5.004 0.000
0.000 0.000 5.004
Zr Tl Br
3 1 1
Cartesian
0.000 0.000 2.502
0.000 2.502 0.000
2.502 0.000 0.000
2.502 2.502 2.502
0.000 0.000 0.000
```

Stability summary - winner: version x; margin: 795 meV per atom.

Version w
VASP calculation (PBE-GGA) on a geometry-optimized ZrTlBr4 structure.

Properties
The calculation puts the mass density at 5.684 Mg/m³.

```
ZrTlBr4
1.0
0.000 4.479 4.479
4.479 0.000 4.479
4.479 4.479 0.000
Zr Tl Br
1 1 4
Cartesian
0.000 0.000 0.000
2.240 2.240 2.240
5.608 3.351 3.351
3.351 5.608 3.351
3.351 3.351 5.608
5.608 5.608 5.608
```

Version x
VASP calculation (PBE-GGA) on a geometry-optimized ZrTlBr4 structure.

Properties
The calculation puts the mass density at 5.364 Mg/m³.

```
ZrTlBr4
1.0
4.379 -7.099 0.000
4.379 7.099 0.000
-1.722 0.000 6.126
Zr Tl Br
2 2 8
Cartesian
3.949 -7.097 1.532
3.088 7.097 4.595
3.088 1.870 4.595
3.949 -1.870 1.532
2.684 4.922 2.830
2.142 0.909 0.588
5.214 4.922 0.233
1.281 -0.909 3.651
5.755 0.909 2.475
1.823 -4.922 5.893
4.894 -0.909 5.539
4.353 -4.922 3.297
```

Stability summary - winner: version x; margin: 1560 meV per atom.

Version w
VASP calculation (PBE-GGA) on a geometry-optimized YTmBr structure.

Properties
The calculation puts the mass density at 5.830 Mg/m³.

```
YTmBr
1.0
1.845 1.065 16.312
-1.845 1.065 16.312
0.000 -2.131 16.312
Y Tm Br
2 2 2
Cartesian
0.000 0.000 4.227
0.000 0.000 44.709
0.000 0.000 17.715
0.000 0.000 31.221
0.000 0.000 10.109
0.000 0.000 38.827
```

Version x
VASP calculation (PBE-GGA) on a geometry-optimized YTmBr structure.

Properties
The calculation puts the mass density at 6.559 Mg/m³.

```
YTmBr
1.0
3.704 0.000 0.000
-1.852 3.208 0.000
0.000 0.000 7.198
Y Tm Br
1 1 1
Cartesian
0.000 0.000 0.000
1.852 1.069 2.606
0.000 2.138 4.897
```

Stability summary - winner: version w; margin: 45 meV per atom.

Version w
VASP calculation (PBE-GGA) on a geometry-optimized UBr5 structure.

Properties
The calculation puts the mass density at 3.965 Mg/m³.

```
UBr5
1.0
7.399 0.000 0.000
-3.561 7.132 0.000
-0.089 -3.923 10.121
U Br
2 10
Cartesian
-0.012 0.649 2.097
3.761 2.560 8.024
-2.466 3.570 5.895
-1.505 1.107 8.588
1.011 -2.478 9.680
2.119 -0.862 2.482
1.140 2.700 3.286
2.609 0.509 6.835
1.630 4.071 7.638
2.738 5.687 0.441
5.254 2.102 1.533
6.215 -0.361 4.226
```

Version x
VASP calculation (PBE-GGA) on a geometry-optimized UBr5 structure.

Properties
The calculation puts the mass density at 3.990 Mg/m³.

```
UBr5
1.0
-4.832 4.832 2.841
4.832 -4.832 2.841
4.832 4.832 -2.841
U Br
1 5
Cartesian
0.000 0.000 0.000
2.569 0.617 0.000
4.215 -2.263 2.841
0.000 0.000 2.841
0.617 7.095 0.000
2.263 4.215 2.841
```

Stability summary - winner: version w; margin: 26 meV per atom.

Version w
VASP calculation (PBE-GGA) on a geometry-optimized VWBr2 structure.

Properties
The calculation puts the mass density at 9.481 Mg/m³.

```
VWBr2
1.0
0.000 3.257 3.257
3.257 0.000 3.257
3.257 3.257 0.000
V W Br
1 1 2
Cartesian
0.000 0.000 0.000
3.257 3.257 3.257
1.629 1.629 1.629
4.886 4.886 4.886
```

Version x
VASP calculation (PBE-GGA) on a geometry-optimized VWBr2 structure.

Properties
The calculation puts the mass density at 8.380 Mg/m³.

```
VWBr2
1.0
-2.181 2.181 8.215
2.181 -2.181 8.215
2.181 2.181 -8.215
V W Br
2 2 4
Cartesian
0.000 0.000 0.000
0.000 2.181 4.108
2.181 0.000 4.108
0.000 0.000 8.215
3.272 1.084 -2.054
1.084 1.091 2.054
-1.091 1.097 6.161
1.097 1.091 10.269
```

Version y
VASP calculation (PBE-GGA) on a geometry-optimized VWBr2 structure.

Properties
The calculation puts the mass density at 9.086 Mg/m³.

```
VWBr2
1.0
1.551 0.895 8.655
-1.551 0.895 8.655
0.000 -1.791 8.655
V W Br
1 1 2
Cartesian
0.000 0.000 0.000
0.000 0.000 12.983
0.000 0.000 10.447
0.000 0.000 15.518
```

Stability summary - winner: version y; margin: 245 meV per atom.

Version w
VASP calculation (PBE-GGA) on a geometry-optimized VW3Br structure.

Properties
The calculation puts the mass density at 11.763 Mg/m³.

```
VW3Br
1.0
4.584 0.000 0.000
0.000 4.584 0.000
0.000 0.000 4.584
V W Br
1 3 1
Cartesian
0.000 0.000 0.000
0.000 2.292 2.292
2.292 0.000 2.292
2.292 2.292 0.000
2.292 2.292 2.292
```

Version x
VASP calculation (PBE-GGA) on a geometry-optimized VW3Br structure.

Properties
The calculation puts the mass density at 11.367 Mg/m³.

```
VW3Br
1.0
4.637 0.000 0.000
0.000 4.637 0.000
0.000 0.000 4.637
V W Br
1 3 1
Cartesian
0.000 0.000 0.000
0.000 0.000 2.318
0.000 2.318 0.000
2.318 0.000 0.000
2.318 2.318 2.318
```

Stability summary - winner: version x; margin: 118 meV per atom.

Version w
VASP calculation (PBE-GGA) on a geometry-optimized YVBr3 structure.

Properties
The calculation puts the mass density at 3.600 Mg/m³.

```
YVBr3
1.0
5.594 0.000 0.000
0.000 5.594 0.000
0.000 0.000 5.594
Y V Br
1 1 3
Cartesian
0.000 0.000 0.000
2.797 2.797 2.797
0.000 0.000 2.797
0.000 2.797 0.000
2.797 0.000 0.000
```

Version x
VASP calculation (PBE-GGA) on a geometry-optimized YVBr3 structure.

Properties
The calculation puts the mass density at 4.547 Mg/m³.

```
YVBr3
1.0
5.175 0.000 0.000
0.000 5.175 0.000
0.000 0.000 5.175
Y V Br
1 1 3
Cartesian
0.000 0.000 0.000
2.588 2.588 2.588
0.000 2.588 2.588
2.588 0.000 2.588
2.588 2.588 0.000
```

Stability summary - winner: version w; margin: 62 meV per atom.

Version w
VASP calculation (PBE-GGA) on a geometry-optimized VZn2Br structure.

Properties
The calculation puts the mass density at 5.312 Mg/m³.

```
VZn2Br
1.0
0.000 3.445 3.445
3.445 0.000 3.445
3.445 3.445 0.000
V Zn Br
1 2 1
Cartesian
0.000 0.000 0.000
1.723 1.723 1.723
5.168 5.168 5.168
3.445 3.445 3.445
```

Version x
VASP calculation (PBE-GGA) on a geometry-optimized VZn2Br structure.

Properties
The calculation puts the mass density at 5.295 Mg/m³.

```
VZn2Br
1.0
-3.925 3.925 2.663
3.925 -3.925 2.663
3.925 3.925 -2.663
V Zn Br
2 4 2
Cartesian
0.000 0.000 0.000
0.000 3.925 1.332
5.888 1.841 -0.666
1.841 1.963 0.666
-1.963 2.084 1.997
2.084 1.963 3.329
3.925 0.000 1.332
0.000 0.000 2.663
```

Stability summary - winner: version x; margin: 355 meV per atom.

Version w
VASP calculation (PBE-GGA) on a geometry-optimized VZnBr2 structure.

Properties
The calculation puts the mass density at 3.442 Mg/m³.

```
VZnBr2
1.0
1.894 1.094 10.720
-1.894 1.094 10.720
0.000 -2.187 10.720
V Zn Br
1 1 2
Cartesian
0.000 0.000 0.000
0.000 0.000 16.079
0.000 0.000 12.189
0.000 0.000 19.970
```

Version x
VASP calculation (PBE-GGA) on a geometry-optimized VZnBr2 structure.

Properties
The calculation puts the mass density at 5.328 Mg/m³.

```
VZnBr2
1.0
0.000 3.504 3.504
3.504 0.000 3.504
3.504 3.504 0.000
V Zn Br
1 1 2
Cartesian
0.000 0.000 0.000
3.504 3.504 3.504
1.752 1.752 1.752
5.256 5.256 5.256
```

Stability summary - winner: version w; margin: 535 meV per atom.

Version w
VASP calculation (PBE-GGA) on a geometry-optimized ZrVBr2 structure.

Properties
The calculation puts the mass density at 6.524 Mg/m³.

```
ZrVBr2
1.0
0.000 3.375 3.375
3.375 0.000 3.375
3.375 3.375 0.000
Zr V Br
1 1 2
Cartesian
0.000 0.000 0.000
3.375 3.375 3.375
1.687 1.687 1.687
5.062 5.062 5.062
```

Version x
VASP calculation (PBE-GGA) on a geometry-optimized ZrVBr2 structure.

Properties
The calculation puts the mass density at 5.484 Mg/m³.

```
ZrVBr2
1.0
-2.298 2.298 8.654
2.298 -2.298 8.654
2.298 2.298 -8.654
Zr V Br
2 2 4
Cartesian
0.000 0.000 0.000
0.000 2.298 4.327
2.298 0.000 4.327
0.000 0.000 8.654
1.149 -1.114 6.491
1.185 1.149 2.164
1.149 3.412 -2.164
1.114 1.149 10.818
```

Stability summary - winner: version x; margin: 65 meV per atom.